Na2AgBi | PBE | relaxed

Summary:
For the energy, the calculation gives -10.0 eV per cell. As for the energy relative to the elements: -0.15 eV/atom.

a = 4.549 Å, b = 4.549 Å, c = 4.912 Å
α = 90.00°, β = 90.00°, γ = 90.00°
Sites, in units of the cell vectors:
Na (0.000, 0.500, 0.000)
Na (0.500, 0.000, 0.000)
Ag (0.000, 0.000, 0.500)
Bi (0.500, 0.500, 0.500)

Ac12Tl6Rh | PBE | relaxed

Summary:
For the energy, the calculation gives -75.2 eV per cell. As for the energy relative to the elements: -0.23 eV/atom.

a = 9.144 Å, b = 9.144 Å, c = 9.144 Å
α = 93.35°, β = 93.35°, γ = 93.35°
Sites, in units of the cell vectors:
Ac (0.042, 0.690, 0.918)
Ac (0.082, 0.958, 0.310)
Ac (0.196, 0.549, 0.423)
Ac (0.310, 0.082, 0.958)
Ac (0.423, 0.196, 0.549)
Ac (0.451, 0.577, 0.804)
Ac (0.549, 0.423, 0.196)
Ac (0.577, 0.804, 0.451)
Ac (0.690, 0.918, 0.042)
Ac (0.804, 0.451, 0.577)
Ac (0.918, 0.042, 0.690)
Ac (0.958, 0.310, 0.082)
Tl (0.140, 0.354, 0.735)
Tl (0.265, 0.860, 0.646)
Tl (0.354, 0.735, 0.140)
Tl (0.646, 0.265, 0.860)
Tl (0.735, 0.140, 0.354)
Tl (0.860, 0.646, 0.265)
Rh (0.000, 0.000, 0.000)

Pm2NdRh2 | PBE | relaxed

Summary:
For the energy, the calculation gives -63.2 eV per cell. As for the energy relative to the elements: -0.52 eV/atom.

a = 13.673 Å, b = 13.673 Å, c = 4.769 Å
α = 90.00°, β = 90.00°, γ = 163.65°
Sites, in units of the cell vectors:
Pm (0.051, 0.949, 0.750)
Pm (0.267, 0.733, 0.250)
Pm (0.733, 0.267, 0.750)
Pm (0.949, 0.051, 0.250)
Nd (0.365, 0.635, 0.750)
Nd (0.635, 0.365, 0.250)
Rh (0.159, 0.841, 0.750)
Rh (0.467, 0.533, 0.750)
Rh (0.533, 0.467, 0.250)
Rh (0.841, 0.159, 0.250)

KLa3Sm2Te6 | PBE | relaxed

Summary:
For the energy, the calculation gives -61.8 eV per cell. The calculation puts the uncorrected formation energy at -1.4689 eV/atom.

a = 10.214 Å, b = 10.214 Å, c = 9.205 Å
α = 102.43°, β = 102.43°, γ = 25.77°
Sites, in units of the cell vectors:
K (0.000, 0.000, 0.000)
La (0.000, 0.000, 0.500)
La (0.338, 0.338, 0.173)
La (0.662, 0.662, 0.827)
Sm (0.330, 0.330, 0.655)
Sm (0.670, 0.670, 0.345)
Te (0.167, 0.167, 0.581)
Te (0.172, 0.172, 0.093)
Te (0.494, 0.494, 0.740)
Te (0.506, 0.506, 0.260)
Te (0.828, 0.828, 0.907)
Te (0.833, 0.833, 0.419)

AcSnP2 | PBE | relaxed

Summary:
For the energy, the calculation gives -20.6 eV per cell. As for the energy relative to the elements: -0.41 eV/atom.

a = 5.160 Å, b = 5.160 Å, c = 5.160 Å
α = 60.00°, β = 60.00°, γ = 60.00°
Sites, in units of the cell vectors:
Ac (0.000, 0.000, 0.000)
Sn (0.500, 0.500, 0.500)
P (0.250, 0.250, 0.250)
P (0.750, 0.750, 0.750)

BeFeIr2 | PBE | relaxed

Summary:
For the energy, the calculation gives -31.1 eV per cell. As for the energy relative to the elements: -0.29 eV/atom.

a = 2.862 Å, b = 2.862 Å, c = 5.960 Å
α = 90.00°, β = 90.00°, γ = 90.00°
Sites, in units of the cell vectors:
Be (0.000, 0.000, 0.000)
Fe (0.000, 0.000, 0.500)
Ir (0.500, 0.500, 0.229)
Ir (0.500, 0.500, 0.771)